1.
A plane-wave DFT calculation with PBE was carried out for Sb2Pd2W after structural relaxation.

a b c (Å): 6.7098 6.7098 6.7098
angles (deg): 143.61 143.61 52.41
Fractional coordinates of all 5 atoms:
Sb 0.2500 0.7500 0.5000
Sb 0.7500 0.2500 0.5000
Pd 0.1068 0.1068 0.0000
Pd 0.8932 0.8932 0.0000
W 0.5000 0.5000 0.0000

Calculated values
Space-group type: No. 139
Electronic total energy: -27.5 eV per cell
E_form (uncorrected): 0.82 eV/atom



2.
A plane-wave DFT calculation with PBE was carried out for SbPd3W after structural relaxation.

a b c (Å): 4.8517 4.8517 4.8517
angles (deg): 90.00 90.00 90.00
Fractional coordinates of all 5 atoms:
Sb 0.0000 0.0000 0.0000
Pd 0.0000 0.5000 0.5000
Pd 0.5000 0.0000 0.5000
Pd 0.5000 0.5000 0.0000
W 0.5000 0.5000 0.5000

Calculated values
Space-group type: No. 221
Electronic total energy: -27.5 eV per cell
E_form (uncorrected): 1.02 eV/atom